A relaxed structure of P2PbS2. Source: the Alexandria database, functional PBE-GGA.

## Properties
excess energy over the best structure of this formula in the dataset	0.305	eV per atom
SG	P4/mmm, No. 123
total moment	0.00	μB/cell

abc: 4.6726 4.6726 4.6762
angles: 90.00 90.00 90.00
Last column: nearest neighbours and their distance in Å.
Sites, in units of the cell vectors:
Pb1 0.5000 0.5000 0.5000  4 S 3.30, 8 P 3.31
P1 0.0000 0.5000 0.0000  2 S 2.34
P2 0.5000 0.0000 0.0000  2 S 2.34
S1 0.0000 0.0000 0.0000  4 P 2.34, 2 S 2.34
S2 0.0000 0.0000 0.5000  2 S 2.34